No. 1
Ac2Zn4Cd3Sn | PBE | optimized geometry

Cell: 4.6654 4.6654 11.1435 Å, 90.00 90.00 90.00°
Element x y z (fractional)
Ac 0.5000 0.0000 0.2406
Ac 0.0000 0.5000 0.7594
Zn 0.5000 0.5000 0.0000
Zn 0.0000 0.0000 0.0000
Zn 0.5000 0.0000 0.6405
Zn 0.0000 0.5000 0.3595
Cd 0.0000 0.0000 0.5000
Cd 0.5000 0.0000 0.8763
Cd 0.0000 0.5000 0.1237
Sn 0.5000 0.5000 0.5000

Its space-group type is No. 115. For the energy of formation, the calculation gives -3.043 eV per formula unit.

---

No. 2
UNbPt | PBE | optimized geometry

Cell: 2.8023 7.7828 5.4371 Å, 90.00 90.00 90.00°
Each line ends with the local moment (μB).
Element x y z (fractional)
U 0.5000 0.1596 0.2500  1.96
U 0.5000 0.8404 0.7500  1.96
Pt 0.0000 0.1822 0.7500  -0.04
Pt 0.0000 0.8178 0.2500  -0.04
Nb 0.0000 0.5000 0.5000  -0.06
Nb 0.0000 0.5000 0.0000  -0.06

Its space-group type is No. 51. For the energy of formation, the calculation gives -0.342 eV per formula unit. The value obtained for the energy above the most stable polymorph in this dataset is 0 meV per atom.

---

No. 3
Ba2TiIr | PBE | optimized geometry

Cell: 5.4399 5.4399 5.4399 Å, 60.00 60.00 60.00°
Element x y z (fractional)
Ir 0.5000 0.5000 0.5000
Ba 0.2500 0.2500 0.2500
Ba 0.7500 0.7500 0.7500
Ti 0.0000 0.0000 0.0000

Its space-group type is No. 225. For the energy of formation, the calculation gives 3.230 eV per formula unit. The value obtained for the energy above the most stable polymorph in this dataset is 597 meV per atom.

---

No. 4
MgScCl6 | PBE | optimized geometry

Cell: 6.3231 6.3240 6.7790 Å, 61.82 62.02 59.98°
Each line ends with the local moment (μB).
Element x y z (fractional)
Mg 0.0000 0.0000 0.0000  0.00
Sc 0.5000 0.5000 0.5000  -0.01
Cl 0.0942 0.4092 0.7484  0.14
Cl 0.7445 0.0950 0.7529  0.14
Cl 0.5938 0.2522 0.2514  0.14
Cl 0.2555 0.9050 0.2471  0.14
Cl 0.9058 0.5908 0.2516  0.14
Cl 0.4062 0.7478 0.7486  0.14

Its space-group type is No. 2. For the formation energy (no corrections), the calculation gives -151.09 kJ/mol of atoms.

---

No. 5
Mg2Ni9B3 | PBE | optimized geometry

Cell: 6.6121 6.6121 8.7322 Å, 88.68 111.50 123.13°
Element x y z (fractional)
Mg 0.3520 0.2384 0.7527
Mg 0.6480 0.7616 0.2473
Mg 0.9857 0.5993 0.7473
Mg 0.0143 0.4007 0.2527
Ni 0.4448 0.9131 0.7457
Ni 0.5552 0.0869 0.2543
Ni 0.6674 0.6991 0.7543
Ni 0.3326 0.3009 0.2457
Ni 0.3992 0.5978 0.9148
Ni 0.6008 0.4022 0.0852
Ni 0.1830 0.4843 0.5852
Ni 0.8170 0.5157 0.4148
Ni 0.9148 0.1648 0.7500
Ni 0.0852 0.8352 0.2500
Ni 0.1630 0.0086 0.9656
Ni 0.8370 0.9914 0.0344
Ni 0.5430 0.1975 0.5344
Ni 0.4570 0.8025 0.4656
Ni 0.8792 0.8571 0.5680
Ni 0.1208 0.1429 0.4320
Ni 0.7891 0.3111 0.9320
Ni 0.2109 0.6889 0.0680
B 0.5000 0.0000 0.0000
B 0.5000 0.5000 0.5000
B 0.8229 0.1425 0.4904
B 0.1771 0.8575 0.5096
B 0.1521 0.3325 0.0096
B 0.8479 0.6675 0.9904

Its space-group type is No. 15. For the energy of formation, the calculation gives -2.870 eV per formula unit.

---

No. 6
LaY3Ru | PBE | optimized geometry

Cell: 4.3513 4.3513 9.5126 Å, 90.00 90.00 90.00°
Element x y z (fractional)
Y 0.0000 0.0000 0.1130
Y 0.5000 0.0000 0.4138
Y 0.0000 0.5000 0.4138
Ru 0.5000 0.5000 0.6059
La 0.0000 0.0000 0.7172

Its space-group type is No. 99. For the energy of formation, the calculation gives 1.832 eV per formula unit. The value obtained for the energy above the most stable polymorph in this dataset is 553 meV per atom.

---

No. 7
CePrSb2Pd2 | PBE | optimized geometry

Cell: 4.6150 4.6150 8.0538 Å, 90.00 90.00 120.00°
Each line ends with the local moment (μB).
Element x y z (fractional)
Ce 0.0000 0.0000 0.0000  0.87
Pr 0.0000 0.0000 0.5000  0.04
Sb 0.6667 0.3333 0.7533  -0.01
Sb 0.3333 0.6667 0.2467  -0.01
Pd 0.6667 0.3333 0.2450  0.00
Pd 0.3333 0.6667 0.7550  0.00

Its space-group type is No. 164. For the formation energy (no corrections), the calculation gives -98.25 kJ/mol of atoms.

---

No. 8
HoErZr2N4 | PBE | optimized geometry

Cell: 3.3301 5.7613 5.8160 Å, 109.33 90.00 90.00°
Element x y z (fractional)
Ho 0.5000 0.5000 0.0000
Er 0.0000 0.0000 0.0000
Zr 0.5000 0.0000 0.5000
Zr 0.0000 0.5000 0.5000
N 0.5000 0.2532 0.2631
N 0.5000 0.7468 0.7369
N 0.0000 0.2450 0.7362
N 0.0000 0.7550 0.2638

Its space-group type is No. 10. For the formation energy (no corrections), the calculation gives -169.36 kJ/mol of atoms.

---

No. 9
ScBeRe2Rh | PBE | optimized geometry

Cell: 4.6160 4.5290 4.6160 Å, 90.00 90.00 90.00°
Each line ends with the local moment (μB).
Element x y z (fractional)
Sc 0.0000 0.0000 0.0000  -0.02
Re 0.0000 0.0000 0.5000  0.33
Re 0.5000 0.0000 0.0000  0.49
Rh 0.0000 0.5000 0.0000  0.06
Be 0.5000 0.5000 0.5000  -0.02

Its space-group type is No. 123. For the energy of formation, the calculation gives 11.302 eV per formula unit.

---

No. 10
Li2ScCd | PBE | optimized geometry

Cell: 5.9835 5.9835 3.0906 Å, 76.72 76.72 120.01°
Element x y z (fractional)
Cd 0.0000 0.5000 0.5000
Li 0.0000 0.0000 0.0000
Li 0.5000 0.5000 0.0000
Sc 0.5000 0.0000 0.5000

Its space-group type is No. 12. For the energy of formation, the calculation gives 0.005 eV per formula unit. The value obtained for the energy above the most stable polymorph in this dataset is 81 meV per atom.

---

No. 11
DyTh2Re | PBE | optimized geometry

Cell: 3.5495 3.5495 8.6925 Å, 90.00 90.00 90.00°
Element x y z (fractional)
Re 0.5000 0.5000 0.0000
Th 0.0000 0.0000 0.7944
Th 0.0000 0.0000 0.2056
Dy 0.5000 0.5000 0.5000

Its space-group type is No. 123. For the energy of formation, the calculation gives 0.543 eV per formula unit. The value obtained for the energy above the most stable polymorph in this dataset is 0 meV per atom.

---

No. 12
ScBe2Pd | PBE | optimized geometry

Cell: 4.1768 4.1768 4.1768 Å, 60.00 60.00 60.00°
Element x y z (fractional)
Sc 0.0000 0.0000 0.0000
Be 0.2500 0.2500 0.2500
Be 0.7500 0.7500 0.7500
Pd 0.5000 0.5000 0.5000

Its space-group type is No. 225. For the energy of formation, the calculation gives -1.546 eV per formula unit. The value obtained for the energy above the most stable polymorph in this dataset is 0 meV per atom.